Compound: LiFe3F9
Source: Alexandria via LeMat-Bulk
Functional: PBE+U
Structure: optimized geometry

Calculated values
As for the space-group type: P2_1/m. The total energy comes out at -5.238 eV per atom. As for the crystal system: monoclinic. Its total magnetization is 1.0769 μB per atom.

Unit cell a=5.0712 b=7.4615 c=8.6330 alpha=90.00 beta=91.39 gamma=90.00
Sites, in units of the cell vectors:
Li 0.0399 0.2500 0.4883
Li 0.9601 0.7500 0.5117
Fe 0.0000 0.0000 0.0000
Fe 0.0000 0.5000 0.0000
Fe 0.4842 0.0006 0.6837
Fe 0.4842 0.4994 0.6837
Fe 0.5158 0.5006 0.3163
Fe 0.5158 0.9994 0.3163
F 0.1236 0.2500 0.9838
F 0.1789 0.5642 0.8089
F 0.1789 0.9358 0.8089
F 0.2550 0.5619 0.4842
F 0.2550 0.9381 0.4842
F 0.3061 0.5610 0.1291
F 0.3061 0.9390 0.1291
F 0.3220 0.2500 0.6533
F 0.3597 0.2500 0.3287
F 0.6403 0.7500 0.6713
F 0.6780 0.7500 0.3467
F 0.6939 0.0610 0.8709
F 0.6939 0.4390 0.8709
F 0.7450 0.0619 0.5158
F 0.7450 0.4381 0.5158
F 0.8211 0.0642 0.1911
F 0.8211 0.4358 0.1911
F 0.8764 0.7500 0.0162